(1)
# U2In8Rh | Alexandria via LeMat-Bulk | meta-GGA SCAN | PBEsol geometry
# - Theoretical density: 10.020 g/cm³
# - Electronic total energy: -46.346 eV per atom
data_U2In8Rh
_chemical_formula_sum 'U2 In8 Rh1'
_cell_length_a 4.570
_cell_length_b 4.570
_cell_length_c 11.885
_cell_angle_alpha 90.00
_cell_angle_beta 90.00
_cell_angle_gamma 90.00
_symmetry_space_group_name_H-M 'P 4/m m m'
_symmetry_Int_Tables_number 123
_symmetry_space_group_name_Hall '-P 4 2'
loop_
_atom_site_label
_atom_site_type_symbol
_atom_site_fract_x
_atom_site_fract_y
_atom_site_fract_z
U1 U 0.000 0.000 0.190
In1 In 0.000 0.500 0.000
In2 In 0.000 0.500 0.375
In3 In 0.500 0.500 0.190
Rh1 Rh 0.000 0.000 0.500

---

(2)
# In2RhW | Alexandria via LeMat-Bulk | meta-GGA SCAN | PBEsol geometry
# - ΔE to the lowest computed polymorph: 0.225 eV per atom
# - Theoretical density: 12.478 g/cm³
# - Electronic total energy: -42.109 eV per atom
data_In2RhW
_chemical_formula_sum 'In8 Rh4 W4'
_cell_length_a 6.502
_cell_length_b 6.502
_cell_length_c 6.502
_cell_angle_alpha 90.00
_cell_angle_beta 90.00
_cell_angle_gamma 90.00
_symmetry_space_group_name_H-M 'F m -3 m'
_symmetry_Int_Tables_number 225
_symmetry_space_group_name_Hall '-F 4 2 3'
loop_
_atom_site_label
_atom_site_type_symbol
_atom_site_fract_x
_atom_site_fract_y
_atom_site_fract_z
In1 In 0.250 0.250 0.250
Rh1 Rh 0.000 0.000 0.000
W1 W 0.000 0.000 0.500

---

(3)
# In2RhW | Alexandria via LeMat-Bulk | meta-GGA SCAN | PBEsol geometry
# - ΔE to the lowest computed polymorph: 0.000 eV per atom
# - Theoretical density: 12.605 g/cm³
# - Electronic total energy: -42.333 eV per atom
data_In2RhW
_chemical_formula_sum 'In2 Rh1 W1'
_cell_length_a 2.914
_cell_length_b 2.914
_cell_length_c 8.011
_cell_angle_alpha 90.00
_cell_angle_beta 90.00
_cell_angle_gamma 90.00
_symmetry_space_group_name_H-M 'P 4/m m m'
_symmetry_Int_Tables_number 123
_symmetry_space_group_name_Hall '-P 4 2'
loop_
_atom_site_label
_atom_site_type_symbol
_atom_site_fract_x
_atom_site_fract_y
_atom_site_fract_z
In1 In 0.000 0.000 0.230
Rh1 Rh 0.500 0.500 0.000
W1 W 0.500 0.500 0.500

---

(4)
# In2RhW | Alexandria via LeMat-Bulk | meta-GGA SCAN | PBEsol geometry
# - ΔE to the lowest computed polymorph: 0.158 eV per atom
# - Theoretical density: 12.355 g/cm³
# - Electronic total energy: -42.176 eV per atom
data_In2RhW
_chemical_formula_sum 'In4 Rh2 W2'
_cell_length_a 5.852
_cell_length_b 8.877
_cell_length_c 2.865
_cell_angle_alpha 90.00
_cell_angle_beta 111.18
_cell_angle_gamma 90.00
_symmetry_space_group_name_H-M 'C 1 2/m 1'
_symmetry_Int_Tables_number 12
loop_
_symmetry_equiv_pos_as_xyz
'x,y,z'
'-x,-y,-z'
'-x,y,-z'
'x,-y,z'
'x+1/2,y+1/2,z'
'-x+1/2,-y+1/2,-z'
'-x+1/2,y+1/2,-z'
'x+1/2,-y+1/2,z'
loop_
_atom_site_label
_atom_site_type_symbol
_atom_site_fract_x
_atom_site_fract_y
_atom_site_fract_z
In1 In 0.250 0.250 0.000
Rh1 Rh 0.000 0.000 0.500
W1 W 0.000 0.500 0.500

---

(5)
# InRh2W | Alexandria via LeMat-Bulk | meta-GGA SCAN | PBEsol geometry
# - Theoretical density: 13.707 g/cm³
# - Electronic total energy: -42.929 eV per atom
data_InRh2W
_chemical_formula_sum 'In1 Rh2 W1'
_cell_length_a 2.845
_cell_length_b 2.845
_cell_length_c 7.549
_cell_angle_alpha 90.00
_cell_angle_beta 90.00
_cell_angle_gamma 90.00
_symmetry_space_group_name_H-M 'P 4/m m m'
_symmetry_Int_Tables_number 123
_symmetry_space_group_name_Hall '-P 4 2'
loop_
_atom_site_label
_atom_site_type_symbol
_atom_site_fract_x
_atom_site_fract_y
_atom_site_fract_z
In1 In 0.000 0.000 0.000
Rh1 Rh 0.500 0.500 0.263
W1 W 0.000 0.000 0.500

---

(6)
# InRh2W | Alexandria via LeMat-Bulk | meta-GGA SCAN | PBEsol geometry
# - Theoretical density: 13.627 g/cm³
# - Electronic total energy: -42.730 eV per atom
data_InRh2W
_chemical_formula_sum 'In2 Rh4 W2'
_cell_length_a 9.334
_cell_length_b 2.832
_cell_length_c 4.729
_cell_angle_alpha 90.00
_cell_angle_beta 100.41
_cell_angle_gamma 90.00
_symmetry_space_group_name_H-M 'C 1 m 1'
_symmetry_Int_Tables_number 8
loop_
_symmetry_equiv_pos_as_xyz
'x,y,z'
'x,-y,z'
'x+1/2,y+1/2,z'
'x+1/2,-y+1/2,z'
loop_
_atom_site_label
_atom_site_type_symbol
_atom_site_fract_x
_atom_site_fract_y
_atom_site_fract_z
In1 In 0.000 0.000 0.000
Rh1 Rh 0.003 0.500 0.499
Rh2 Rh 0.251 0.000 0.808
W1 W 0.261 0.500 0.328

---

(7)
# In2RhW | Alexandria via LeMat-Bulk | meta-GGA SCAN | PBEsol geometry
# - ΔE to the lowest computed polymorph: 0.056 eV per atom
# - Theoretical density: 12.449 g/cm³
# - Electronic total energy: -42.277 eV per atom
data_In2RhW
_chemical_formula_sum 'In6 Rh3 W3'
_cell_length_a 2.9671
_cell_length_b 2.9671
_cell_length_c 27.1026
_cell_angle_alpha 90.00
_cell_angle_beta 90.00
_cell_angle_gamma 120.00
_symmetry_space_group_name_H-M 'R -3 m'
_symmetry_Int_Tables_number 166
_symmetry_space_group_name_Hall '-R 3 2"'
loop_
_atom_site_label
_atom_site_type_symbol
_atom_site_fract_x
_atom_site_fract_y
_atom_site_fract_z
In1 In 0.0000 0.0000 0.2456
Rh1 Rh 0.0000 0.0000 0.5000
W1 W 0.0000 0.0000 0.0000

---

(8)
# In2RhW | Alexandria via LeMat-Bulk | meta-GGA SCAN | PBEsol geometry
# - ΔE to the lowest computed polymorph: 0.000 eV per atom
# - Theoretical density: 11.968 g/cm³
# - Electronic total energy: -42.334 eV per atom
data_In2RhW
_chemical_formula_sum 'In6 Rh3 W3'
_cell_length_a 2.9654
_cell_length_b 2.9654
_cell_length_c 28.2243
_cell_angle_alpha 90.00
_cell_angle_beta 90.00
_cell_angle_gamma 120.00
_symmetry_space_group_name_H-M 'R 3 m'
_symmetry_Int_Tables_number 160
_symmetry_space_group_name_Hall 'R 3 -2"'
loop_
_atom_site_label
_atom_site_type_symbol
_atom_site_fract_x
_atom_site_fract_y
_atom_site_fract_z
In1 In 0.0000 0.0000 0.0000
In2 In 0.0000 0.0000 0.2353
Rh1 Rh 0.0000 0.0000 0.4891
W1 W 0.0000 0.0000 0.7520

---

(9)
# InRh2W | Alexandria via LeMat-Bulk | meta-GGA SCAN | PBEsol geometry
# - Theoretical density: 13.559 g/cm³
# - Electronic total energy: -42.361 eV per atom
data_InRh2W
_chemical_formula_sum 'In4 Rh8 W4'
_cell_length_a 6.275
_cell_length_b 6.275
_cell_length_c 6.275
_cell_angle_alpha 90.00
_cell_angle_beta 90.00
_cell_angle_gamma 90.00
_symmetry_space_group_name_H-M 'F -4 3 m'
_symmetry_Int_Tables_number 216
_symmetry_space_group_name_Hall 'F -4 2 3'
loop_
_atom_site_label
_atom_site_type_symbol
_atom_site_fract_x
_atom_site_fract_y
_atom_site_fract_z
In1 In 0.000 0.000 0.000
Rh1 Rh 0.000 0.000 0.500
Rh2 Rh 0.250 0.250 0.250
W1 W 0.250 0.250 0.750

---

(10)
# YInRh | Alexandria via LeMat-Bulk | meta-GGA SCAN | PBEsol geometry
# - Theoretical density: 8.287 g/cm³
# - Electronic total energy: -32.554 eV per atom
data_YInRh
_chemical_formula_sum 'Y3 In3 Rh3'
_cell_length_a 7.3959
_cell_length_b 7.3959
_cell_length_c 3.8912
_cell_angle_alpha 90.00
_cell_angle_beta 90.00
_cell_angle_gamma 120.00
_symmetry_space_group_name_H-M 'P -6 2 m'
_symmetry_Int_Tables_number 189
_symmetry_space_group_name_Hall 'P -6 -2'
loop_
_atom_site_label
_atom_site_type_symbol
_atom_site_fract_x
_atom_site_fract_y
_atom_site_fract_z
Y1 Y 0.0000 0.5929 0.0000
In1 In 0.0000 0.2563 0.5000
Rh1 Rh 0.0000 0.0000 0.0000
Rh2 Rh 0.3333 0.6667 0.5000

---

(11)
# Y2InRh | Alexandria via LeMat-Bulk | meta-GGA SCAN | PBEsol geometry
# - Theoretical density: 7.263 g/cm³
# - Electronic total energy: -31.405 eV per atom
data_Y2InRh
_chemical_formula_sum 'Y4 In2 Rh2'
_cell_length_a 4.289
_cell_length_b 5.190
_cell_length_c 8.125
_cell_angle_alpha 90.00
_cell_angle_beta 90.00
_cell_angle_gamma 90.00
_symmetry_space_group_name_H-M 'I m m m'
_symmetry_Int_Tables_number 71
_symmetry_space_group_name_Hall '-I 2 2'
loop_
_atom_site_label
_atom_site_type_symbol
_atom_site_fract_x
_atom_site_fract_y
_atom_site_fract_z
Y1 Y 0.000 0.000 0.219
In1 In 0.000 0.500 0.000
Rh1 Rh 0.000 0.500 0.500

---

(12)
# Y2InRh | Alexandria via LeMat-Bulk | meta-GGA SCAN | PBEsol geometry
# - Theoretical density: 7.381 g/cm³
# - Electronic total energy: -31.433 eV per atom
data_Y2InRh
_chemical_formula_sum 'Y2 In1 Rh1'
_cell_length_a 4.927
_cell_length_b 4.927
_cell_length_c 3.666
_cell_angle_alpha 90.00
_cell_angle_beta 90.00
_cell_angle_gamma 90.00
_symmetry_space_group_name_H-M 'P 4/m m m'
_symmetry_Int_Tables_number 123
_symmetry_space_group_name_Hall '-P 4 2'
loop_
_atom_site_label
_atom_site_type_symbol
_atom_site_fract_x
_atom_site_fract_y
_atom_site_fract_z
Y1 Y 0.000 0.500 0.000
In1 In 0.000 0.000 0.500
Rh1 Rh 0.500 0.500 0.500